(1)
VASP calculation (PBE-GGA) on a geometry-optimized SrLiPrS3 structure.

Results
VASP energy (eV per atom): -5.354
Total moment (μB/f.u.): 0.00
Space-group type: C2/m (12)
Relative energy among the computed polymorphs (meV/atom): 0

Cell lengths 8.943, 8.943, 8.406 Å; angles 104.22, 104.22, 26.31 degrees
Element x y z (fractional)
S 0.664 0.664 0.352
S 0.000 0.000 0.500
S 0.325 0.325 0.172
S 0.500 0.500 0.000
S 0.336 0.336 0.648
S 0.675 0.675 0.828
Sr 0.130 0.130 0.064
Sr 0.870 0.870 0.936
Pr 0.834 0.834 0.405
Pr 0.166 0.166 0.595
Li 0.501 0.501 0.299
Li 0.499 0.499 0.701

---

(2)
VASP calculation (PBE-GGA) on a geometry-optimized CuTcHgOs structure.

Results
VASP energy (eV per atom): -5.748
Total moment (μB/f.u.): 0.00
Space-group type: F-43m (216)
Relative energy among the computed polymorphs (meV/atom): 0

Cell lengths 4.443, 4.443, 4.443 Å; angles 60.00, 60.00, 60.00 degrees
Element x y z (fractional)
Tc 0.250 0.250 0.250
Os 0.000 0.000 0.000
Hg 0.500 0.500 0.500
Cu 0.750 0.750 0.750

---

(3)
VASP calculation (PBE-GGA) on a geometry-optimized Lu4Nb2S3N3 structure.

Results
VASP energy (eV per atom): -7.879
Total moment (μB/f.u.): 0.01
Space-group type: C2/c (15)

Cell lengths 5.926, 5.926, 12.427 Å; angles 103.36, 103.36, 60.37 degrees
Element x y z (fractional)
Lu 0.137 0.299 0.897
Lu 0.701 0.863 0.603
Lu 0.299 0.137 0.397
Lu 0.204 0.030 0.103
Lu 0.796 0.970 0.897
Lu 0.030 0.204 0.603
Lu 0.863 0.701 0.103
Lu 0.970 0.796 0.397
N 0.674 0.153 0.500
N 0.000 0.500 0.500
N 0.500 0.000 0.000
N 0.326 0.847 0.500
N 0.153 0.674 0.000
N 0.847 0.326 0.000
S 0.893 0.107 0.250
S 0.730 0.581 0.751
S 0.581 0.730 0.251
S 0.107 0.893 0.750
S 0.419 0.270 0.749
S 0.270 0.419 0.249
Nb 0.624 0.472 0.410
Nb 0.528 0.376 0.090
Nb 0.376 0.528 0.590
Nb 0.472 0.624 0.910

---

(4)
VASP calculation (PBE-GGA) on a geometry-optimized HgIr2Os structure.

Results
VASP energy (eV per atom): -6.459
Total moment (μB/f.u.): 0.01
Space-group type: F-43m (216)

Cell lengths 4.490, 4.490, 4.490 Å; angles 60.00, 60.00, 60.00 degrees
Element x y z (fractional)
Ir 0.250 0.250 0.250
Ir 0.000 0.000 0.000
Os 0.750 0.750 0.750
Hg 0.500 0.500 0.500